An optimized crystal structure of Ti3Mn2Cr3O16. Source: the Alexandria database, functional PBE+U.

Unit cell a=5.8721 b=5.8942 c=8.9606 alpha=90.41 beta=90.44 gamma=119.80
With the nearest neighbours (Å) after each atom.
Positions (direct):
Mn (0.6632, 0.3328, 0.4825)  6 O 1.91-2.01
Mn (0.3361, 0.6635, 0.9821)  6 O 1.91-2.00
O (0.8279, 0.6579, 0.6009)  1 Ti 1.85, 1 Mn 1.96
O (0.3390, 0.1824, 0.6073)  2 Cr 1.87-2.03, 1 Mn 2.01
O (0.5208, 0.0508, 0.3411)  1 Mn 1.91, 1 Cr 1.99, 1 Ti 2.00
O (0.5194, 0.4691, 0.3407)  1 Mn 1.91, 1 Ti 1.99, 1 Cr 2.00
O (0.4731, 0.5254, 0.8376)  1 Mn 1.91, 1 Ti 1.99, 1 Cr 2.01
O (0.8243, 0.1741, 0.6075)  1 Cr 1.90, 1 Mn 1.98, 1 Ti 2.00
O (0.1791, 0.3411, 0.1058)  1 Cr 1.89, 1 Mn 2.00, 1 Ti 2.01
O (0.1784, 0.8302, 0.1082)  1 Cr 1.89, 1 Mn 2.00, 1 Ti 2.01
O (0.6754, 0.3352, 0.0961)  2 Ti 1.94-1.97, 1 Cr 1.99
O (0.0019, 0.9988, 0.8099)  2 Cr 1.89-1.98, 1 Ti 1.96
O (0.0015, 0.0002, 0.3130)  2 Ti 1.93-1.94, 1 Cr 1.98
O (0.3264, 0.6777, 0.5992)  2 Cr 1.92-1.99, 1 Ti 1.96
O (0.4710, 0.9532, 0.8472)  1 Cr 1.85, 1 Mn 1.92
O (0.0517, 0.5238, 0.8417)  1 Mn 1.91, 2 Cr 1.97-2.00
O (0.6539, 0.8236, 0.1057)  1 Mn 1.95, 2 Ti 1.96
O (0.9488, 0.4717, 0.3468)  1 Mn 1.91, 2 Ti 2.00
Ti (0.8304, 0.1642, 0.2089)  6 O 1.94-2.01
Ti (0.8314, 0.6649, 0.2129)  6 O 1.93-2.01
Ti (0.6692, 0.8196, 0.6982)  5 O 1.85-2.00
Cr (0.3327, 0.1637, 0.2004)  6 O 1.89-2.00
Cr (0.1831, 0.8432, 0.7218)  5 O 1.85-2.03
Cr (0.1613, 0.3327, 0.7001)  6 O 1.87-2.01

Results
ρ, g cm⁻³: 4.106
Symmetry: P1, No. 1
E_tot, eV per atom: -7.826